Compound: K3Ac3UO8
Source: Alexandria via LeMat-Bulk
Functional: PBE-GGA
Structure: relaxed

Geometry as POSCAR:
```
K3Ac3UO8
1.0
-2.2933 -3.8767 6.1256
0.6953 -3.5349 -6.6956
6.4056 2.2268 3.8074
K Ac U O
3 3 1 8
Cartesian
0.0000 0.0000 0.0000
0.3477 -1.7674 -3.3478
-0.7990 -3.7058 -0.2850
2.0562 -0.8249 4.9665
2.4038 -2.5924 1.6187
3.5505 -0.6540 -1.4441
3.2028 1.1134 1.9037
1.7388 -2.2643 -0.7820
3.0689 -2.9204 4.0194
0.6887 -4.4658 2.1504
4.1190 -0.7190 1.0870
0.2960 -2.4696 5.9314
4.5117 -2.7151 -2.6940
1.5910 -0.2804 2.4723
3.2167 -4.9043 0.7651
```

## Properties
Space-group type: No. 166
Volume: 321.4 Å³/cell
Total moment: 1.79 μB per formula unit
Uncorrected formation energy: -40.48 eV per formula unit
Density of states at the Fermi level: 3.54 states/eV/f.u.